# 1
The following is a PBE-GGA calculation of a relaxed Cs2RbSn2Te4 crystal, from Alexandria.

a b c (Å): 5.7492 9.7209 8.3880
angles (deg): 107.48 90.00 107.20
With the nearest neighbours (Å) after each atom.
Sites, in units of the cell vectors:
Cs1 0.8669 0.7338 0.4350  5 Te 3.87-4.23, 1 Sn 4.19
Cs2 0.1331 0.2662 0.5650  5 Te 3.87-4.23, 1 Sn 4.19
Rb1 0.0000 0.0000 0.0000  6 Te 3.70-3.84
Sn1 0.3275 0.6550 0.9872  4 Te 2.84-3.11
Sn2 0.6725 0.3450 0.0128  4 Te 2.84-3.11
Te1 0.7904 0.5807 0.8419  3 Sn 2.97-3.11
Te2 0.2096 0.4193 0.1581  3 Sn 2.97-3.11
Te3 0.4623 0.9246 0.2662  1 Sn 2.84
Te4 0.5377 0.0754 0.7338  1 Sn 2.84

## Properties
ΔE_f (raw)   -0.70 eV per atom
Total magnetic moment   0.00 μB/cell
Space-group type   No. 12
Total DFT energy (no corrections)   -3.2780 eV/atom

=====

# 2
The following is a PBE-GGA calculation of a relaxed Tb6Nd2Tm3Pb crystal, from Alexandria.

a b c (Å): 6.1022 6.1022 11.7719
angles (deg): 94.96 94.96 120.02
With the nearest neighbours (Å) after each atom.
Sites, in units of the cell vectors:
Tb1 0.9162 0.5893 0.7472  6 Tb 3.45-3.56, 3 Tm 3.50-3.53, 1 Pb 3.54, 2 Nd 3.58
Tb2 0.7573 0.7573 0.2539  6 Tb 3.45-3.56, 3 Tm 3.50-3.53, 1 Pb 3.56, 2 Nd 3.59
Tb3 0.0838 0.4107 0.2528  6 Tb 3.45-3.56, 3 Tm 3.50-3.53, 1 Pb 3.54, 2 Nd 3.58
Tb4 0.5893 0.9162 0.7472  6 Tb 3.45-3.56, 3 Tm 3.50-3.53, 1 Pb 3.54, 2 Nd 3.58
Tb5 0.2427 0.2427 0.7461  6 Tb 3.45-3.56, 3 Tm 3.50-3.53, 1 Pb 3.56, 2 Nd 3.59
Tb6 0.4107 0.0838 0.2528  6 Tb 3.45-3.56, 3 Tm 3.50-3.53, 1 Pb 3.54, 2 Nd 3.58
Nd1 0.3340 0.6660 0.0000  3 Nd 3.51-3.53, 3 Pb 3.52-3.53, 6 Tb 3.58-3.59
Nd2 0.6660 0.3340 0.0000  3 Nd 3.51-3.53, 3 Pb 3.52-3.53, 6 Tb 3.58-3.59
Tm1 0.1674 0.8326 0.5000  6 Tb 3.50-3.53, 6 Tm 3.51-3.54
Tm2 0.8326 0.1674 0.5000  6 Tb 3.50-3.53, 6 Tm 3.51-3.54
Tm3 0.5000 0.5000 0.5000  6 Tb 3.50-3.53, 6 Tm 3.52-3.53
Pb1 0.0000 0.0000 0.0000  6 Nd 3.52-3.53, 6 Tb 3.54-3.56

## Properties
Formation energy from the elements   -0.8 eV per formula unit
Total magnetic moment   0.00 μB/cell
Space-group type   No. 12
Total DFT energy (no corrections)   -4.5998 eV/atom

=====

# 3
The following is a PBE-GGA calculation of a relaxed Cs3Tl8Sb3 crystal, from Alexandria.

a b c (Å): 5.6024 10.3617 10.3617
angles (deg): 74.60 74.32 74.32
With the nearest neighbours (Å) after each atom.
Sites, in units of the cell vectors:
Cs1 0.5000 0.5000 0.5000  12 Tl 4.02-4.28, 4 Sb 4.38
Cs2 0.8264 0.1736 0.1736  4 Sb 3.89-3.96, 8 Tl 3.98-4.08
Cs3 0.1736 0.8264 0.8264  4 Sb 3.89-3.96, 8 Tl 3.98-4.08
Tl1 0.6171 0.0971 0.6686  3 Sb 3.25-3.35, 4 Tl 3.36-3.63
Tl2 0.3829 0.9029 0.3314  3 Sb 3.25-3.35, 4 Tl 3.36-3.63
Tl3 0.6171 0.6686 0.0971  3 Sb 3.25-3.35, 4 Tl 3.36-3.63
Tl4 0.3829 0.3314 0.9029  3 Sb 3.25-3.35, 4 Tl 3.36-3.63
Tl5 0.8259 0.8170 0.5311  1 Sb 3.13, 3 Tl 3.36-3.44
Tl6 0.1741 0.1830 0.4689  1 Sb 3.13, 3 Tl 3.36-3.44
Tl7 0.8259 0.5311 0.8170  1 Sb 3.13, 3 Tl 3.36-3.44
Tl8 0.1741 0.4689 0.1830  1 Sb 3.13, 3 Tl 3.36-3.44
Sb1 0.5000 0.0000 0.0000  4 Tl 3.25
Sb2 0.0000 0.7686 0.2314  6 Tl 3.13-3.35
Sb3 0.0000 0.2314 0.7686  6 Tl 3.13-3.35

## Properties
ΔE_f (raw)   -0.09 eV per atom
Total magnetic moment   0.00 μB/cell
Space-group type   No. 71
Total DFT energy (no corrections)   -2.5134 eV/atom

=====

# 4
The following is a PBE-GGA calculation of a relaxed Rb2NdTmTe4 crystal, from Alexandria.

a b c (Å): 4.5667 7.9160 8.9579
angles (deg): 107.09 90.00 90.00
With the nearest neighbours (Å) after each atom.
Sites, in units of the cell vectors:
Rb1 0.5000 0.0000 0.5000  6 Te 3.64
Rb2 0.0000 0.5000 0.5000  6 Te 3.72
Nd1 0.5000 0.5000 0.0000  6 Te 3.19-3.20
Tm1 0.0000 0.0000 0.0000  6 Te 3.10-3.11
Te1 0.5000 0.2237 0.1986  2 Tm 3.11, 1 Nd 3.20
Te2 0.5000 0.7763 0.8014  2 Tm 3.11, 1 Nd 3.20
Te3 0.0000 0.2564 0.7970  1 Tm 3.10, 2 Nd 3.19
Te4 0.0000 0.7436 0.2030  1 Tm 3.10, 2 Nd 3.19

## Properties
ΔE_f (raw)   -1.38 eV per atom
Total magnetic moment   0.00 μB/cell
Space-group type   No. 10
Total DFT energy (no corrections)   -4.3458 eV/atom

=====

# 5
The following is a PBE-GGA calculation of a relaxed KGd2Cl7 crystal, from Alexandria.

a b c (Å): 12.7452 7.0427 13.5965
angles (deg): 93.18 90.00 90.00
With the nearest neighbours (Å) after each atom.
Sites, in units of the cell vectors:
K1 0.2194 0.8053 0.0220  7 Cl 3.27-3.57
K2 0.7806 0.1947 0.9780  7 Cl 3.27-3.57
K3 0.7194 0.1947 0.4780  7 Cl 3.27-3.57
K4 0.2806 0.8053 0.5220  7 Cl 3.27-3.57
Gd1 0.5358 0.7838 0.2400  7 Cl 2.74-2.79
Gd2 0.4642 0.2162 0.7600  7 Cl 2.74-2.79
Gd3 0.0358 0.2162 0.2600  7 Cl 2.74-2.79
Gd4 0.9642 0.7838 0.7400  7 Cl 2.74-2.79
Gd5 0.8399 0.7150 0.2439  7 Cl 2.73-2.77
Gd6 0.1601 0.2850 0.7561  7 Cl 2.73-2.77
Gd7 0.3399 0.2850 0.2561  7 Cl 2.73-2.77
Gd8 0.6601 0.7150 0.7439  7 Cl 2.73-2.77
Cl1 0.9758 0.9206 0.1319  2 Gd 2.75-2.77
Cl2 0.0242 0.0794 0.8681  2 Gd 2.75-2.77
Cl3 0.4758 0.0794 0.3681  2 Gd 2.75-2.77
Cl4 0.5242 0.9206 0.6319  2 Gd 2.75-2.77
Cl5 0.6862 0.7561 0.3873  2 Gd 2.77-2.79
Cl6 0.3138 0.2439 0.6127  2 Gd 2.77-2.79
Cl7 0.1862 0.2439 0.1127  2 Gd 2.77-2.79
Cl8 0.8138 0.7561 0.8873  2 Gd 2.77-2.79
Cl9 0.6728 0.5145 0.1646  2 Gd 2.74
Cl10 0.3272 0.4855 0.8354  2 Gd 2.74
Cl11 0.1728 0.4855 0.3354  2 Gd 2.74
Cl12 0.8272 0.5145 0.6646  2 Gd 2.74
Cl13 0.9321 0.9714 0.3762  2 Gd 2.74
Cl14 0.0679 0.0286 0.6238  2 Gd 2.74
Cl15 0.4321 0.0286 0.1238  2 Gd 2.74
Cl16 0.5679 0.9714 0.8762  2 Gd 2.74
Cl17 0.9385 0.4365 0.1270  2 Gd 2.74-2.76
Cl18 0.0615 0.5635 0.8730  2 Gd 2.74-2.76
Cl19 0.4385 0.5635 0.3730  2 Gd 2.74-2.76
Cl20 0.5615 0.4365 0.6270  2 Gd 2.74-2.76
Cl21 0.7062 0.9924 0.1797  2 Gd 2.77
Cl22 0.2938 0.0076 0.8203  2 Gd 2.77
Cl23 0.2062 0.0076 0.3203  2 Gd 2.77
Cl24 0.7938 0.9924 0.6797  2 Gd 2.77
Cl25 0.9019 0.4499 0.3712  2 Gd 2.73-2.76
Cl26 0.0981 0.5501 0.6288  2 Gd 2.73-2.76
Cl27 0.4019 0.5501 0.1288  2 Gd 2.73-2.76
Cl28 0.5981 0.4499 0.8712  2 Gd 2.73-2.76

## Properties
ΔE_f (raw)   -2.24 eV per atom
Total magnetic moment   55.79 μB/cell
Space-group type   No. 14
Total DFT energy (no corrections)   -6.4615 eV/atom

=====

# 6
The following is a PBE-GGA calculation of a relaxed EuHoSc crystal, from Alexandria.

a b c (Å): 3.5309 3.5309 8.5989
angles (deg): 90.00 90.00 120.00
With the nearest neighbours (Å) after each atom.
Sites, in units of the cell vectors:
Eu1 0.0000 0.0000 0.0079  6 Eu 3.53, 3 Sc 3.54, 3 Ho 3.71
Sc1 0.6667 0.3333 0.3450  3 Ho 3.30, 6 Sc 3.53, 3 Eu 3.54
Ho1 0.3333 0.6667 0.6472  3 Sc 3.30, 6 Ho 3.53

## Properties
Formation energy from the elements   0.3 eV per formula unit
Total magnetic moment   7.24 μB/cell
Space-group type   No. 156
Offset from the most stable computed form   3 meV/atom
Total DFT energy (no corrections)   -6.9491 eV/atom

=====

# 7
The following is a PBE-GGA calculation of a relaxed Nd2Sm6Er3Tm crystal, from Alexandria.

a b c (Å): 6.2284 6.2284 11.8891
angles (deg): 95.00 95.00 119.99
With the nearest neighbours (Å) after each atom.
Sites, in units of the cell vectors:
Nd1 0.3334 0.6666 0.0000  3 Nd 3.60, 3 Tm 3.60, 6 Sm 3.62-3.63
Nd2 0.6666 0.3334 0.0000  3 Nd 3.60, 3 Tm 3.60, 6 Sm 3.62-3.63
Sm1 0.9154 0.5834 0.7466  3 Er 3.55-3.56, 6 Sm 3.58-3.60, 1 Tm 3.62, 2 Nd 3.62
Sm2 0.7524 0.7524 0.2537  3 Er 3.55-3.56, 6 Sm 3.58-3.60, 1 Tm 3.62, 2 Nd 3.63
Sm3 0.0846 0.4166 0.2534  3 Er 3.55-3.56, 6 Sm 3.58-3.60, 1 Tm 3.62, 2 Nd 3.62
Sm4 0.5834 0.9154 0.7466  3 Er 3.55-3.56, 6 Sm 3.58-3.60, 1 Tm 3.62, 2 Nd 3.62
Sm5 0.2476 0.2476 0.7463  3 Er 3.55-3.56, 6 Sm 3.58-3.60, 1 Tm 3.62, 2 Nd 3.63
Sm6 0.4166 0.0846 0.2534  3 Er 3.55-3.56, 6 Sm 3.58-3.60, 1 Tm 3.62, 2 Nd 3.62
Er1 0.1663 0.8337 0.5000  6 Sm 3.55-3.56, 6 Er 3.59-3.60
Er2 0.8337 0.1663 0.5000  6 Sm 3.55-3.56, 6 Er 3.59-3.60
Er3 0.5000 0.5000 0.5000  6 Sm 3.55-3.56, 6 Er 3.59-3.60
Tm1 0.0000 0.0000 0.0000  6 Nd 3.60, 6 Sm 3.62

## Properties
Formation energy from the elements   0.2 eV per formula unit
Total magnetic moment   0.00 μB/cell
Space-group type   No. 12
Total DFT energy (no corrections)   -4.6508 eV/atom

=====

# 8
The following is a PBE-GGA calculation of a relaxed Al2NiBr crystal, from Alexandria.

a b c (Å): 4.1652 4.1652 6.3896
angles (deg): 70.36 70.36 59.68
With the nearest neighbours (Å) after each atom.
Sites, in units of the cell vectors:
Ni1 0.2760 0.2760 0.0002  6 Al 2.45-2.49
Al1 0.9135 0.9135 0.0934  3 Ni 2.45-2.47, 1 Br 2.53, 3 Al 2.64-2.65
Al2 0.6448 0.6448 0.9049  3 Ni 2.45-2.49, 1 Br 2.52, 3 Al 2.64-2.65
Br1 0.6658 0.6658 0.5016  2 Al 2.52-2.53

## Properties
ΔE_f (raw)   -0.27 eV per atom
Total magnetic moment   0.00 μB/cell
Space-group type   No. 8
Offset from the most stable computed form   0 meV/atom
Total DFT energy (no corrections)   -4.0077 eV/atom

=====

# 9
The following is a PBE-GGA calculation of a relaxed BaSiSb2 crystal, from Alexandria.

a b c (Å): 6.4439 6.4439 6.4439
angles (deg): 138.84 131.51 65.45
With the nearest neighbours (Å) after each atom.
Sites, in units of the cell vectors:
Ba1 0.2891 0.7891 0.5000  2 Si 3.39, 8 Sb 3.63-3.75
Sb1 0.0276 0.0276 0.0000  2 Sb 3.02
Sb2 0.6611 0.1611 0.5000  2 Si 2.72, 2 Sb 3.02
Si1 0.5221 0.5221 0.0000  2 Sb 2.72

## Properties
ΔE_f (raw)   -0.17 eV per atom
Total magnetic moment   0.00 μB/cell
Space-group type   No. 44
Total DFT energy (no corrections)   -4.0677 eV/atom

=====

# 10
The following is a PBE-GGA calculation of a relaxed Co2PbW crystal, from Alexandria.

a b c (Å): 5.3055 5.3055 5.3055
angles (deg): 147.62 130.41 60.48
With the nearest neighbours (Å) after each atom.
Sites, in units of the cell vectors:
Co1 0.9944 0.9944 0.0000  2 Co 2.58, 2 W 2.64, 4 Pb 2.68
Co2 0.7638 0.2638 0.5000  2 Co 2.58, 4 W 2.69, 2 Pb 2.77
Pb1 0.5090 0.5090 0.0000  6 Co 2.68-2.77, 2 W 2.93, 2 Pb 2.96
W1 0.2327 0.7327 0.5000  6 Co 2.64-2.69, 2 Pb 2.93

## Properties
Formation energy from the elements   2.7 eV per formula unit
Total magnetic moment   0.51 μB/cell
Space-group type   No. 44
Total DFT energy (no corrections)   -7.0471 eV/atom

=====

# 11
The following is a PBE-GGA calculation of a relaxed Er2Ga5Au crystal, from Alexandria.

a b c (Å): 5.9987 5.9987 5.9987
angles (deg): 91.35 119.22 119.22
With the nearest neighbours (Å) after each atom.
Sites, in units of the cell vectors:
Er1 0.5000 0.2222 0.7222  10 Ga 3.00-3.03, 2 Au 3.03
Er2 0.5000 0.7222 0.2222  10 Ga 3.00-3.03, 2 Au 3.03
Ga1 0.4996 0.7221 0.7221  6 Ga 3.00-3.04, 2 Au 3.00, 4 Er 3.00
Ga2 0.0000 0.2225 0.7221  6 Ga 3.00-3.04, 2 Au 3.00, 4 Er 3.00
Ga3 0.0000 0.7221 0.2225  6 Ga 3.00-3.04, 2 Au 3.00, 4 Er 3.00
Ga4 0.5004 0.2225 0.2225  6 Ga 3.00-3.04, 2 Au 3.00, 4 Er 3.00
Ga5 0.0000 0.7224 0.7224  8 Ga 3.00, 4 Er 3.03
Au1 0.0000 0.2220 0.2220  8 Ga 3.00, 4 Er 3.03

## Properties
Formation energy from the elements   -4.3 eV per formula unit
Total magnetic moment   0.00 μB/cell
Space-group type   No. 139
Total DFT energy (no corrections)   -3.9815 eV/atom

=====

# 12
The following is a PBE-GGA calculation of a relaxed Li2Y2ErIn5 crystal, from Alexandria.

a b c (Å): 4.3955 10.3102 10.3102
angles (deg): 90.00 90.00 90.00
With the nearest neighbours (Å) after each atom.
Sites, in units of the cell vectors:
Li1 0.0000 0.1197 0.6197  6 In 2.81-2.85, 3 Y 3.00-3.09
Li2 0.0000 0.8803 0.3803  6 In 2.81-2.85, 3 Y 3.00-3.09
Li3 0.0000 0.6197 0.8803  6 In 2.81-2.85, 3 Y 3.00-3.09
Li4 0.0000 0.3803 0.1197  6 In 2.81-2.85, 3 Y 3.00-3.09
Y1 0.0000 0.6746 0.1746  3 Li 3.00-3.09
Y2 0.0000 0.3254 0.8254  3 Li 3.00-3.09
Y3 0.0000 0.1746 0.3254  3 Li 3.00-3.09
Y4 0.0000 0.8254 0.6746  3 Li 3.00-3.09
Er1 0.0000 0.0000 0.0000  8 In 3.19
Er2 0.0000 0.5000 0.5000  8 In 3.19
In1 0.5000 0.2110 0.0741  2 Li 2.85, 2 In 3.08-3.13, 2 Er 3.19
In2 0.5000 0.7890 0.9259  2 Li 2.85, 2 In 3.08-3.13, 2 Er 3.19
In3 0.5000 0.0741 0.7890  2 Li 2.85, 2 In 3.08-3.13, 2 Er 3.19
In4 0.5000 0.7110 0.4259  2 Li 2.85, 2 In 3.08-3.13, 2 Er 3.19
In5 0.5000 0.9259 0.2110  2 Li 2.85, 2 In 3.08-3.13, 2 Er 3.19
In6 0.5000 0.2890 0.5741  2 Li 2.85, 2 In 3.08-3.13, 2 Er 3.19
In7 0.5000 0.5741 0.7110  2 Li 2.85, 2 In 3.08-3.13, 2 Er 3.19
In8 0.5000 0.4259 0.2890  2 Li 2.85, 2 In 3.08-3.13, 2 Er 3.19
In9 0.5000 0.5000 0.0000  4 Li 2.81, 4 In 3.08
In10 0.5000 0.0000 0.5000  4 Li 2.81, 4 In 3.08

## Properties
Formation energy from the elements   -3.9 eV per formula unit
Total magnetic moment   0.00 μB/cell
Space-group type   No. 127
Total DFT energy (no corrections)   -3.8883 eV/atom